Entry from Alexandria via LeMat-Bulk: a relaxed structure of CaAl2Os (PBE).

Cell: 3.9684 3.0267 6.7836 Å, 77.72 90.00 90.00°
With the nearest neighbours (Å) after each atom.
Element x y z (fractional)
Ca: 0.0000 0.4463 0.5038  5 Al 2.89-3.24, 2 Ca 3.03
Os: 0.5000 0.7490 0.8634  6 Al 2.54-2.66
Al: 0.0000 0.2106 0.9399  4 Os 2.54-2.55, 2 Al 2.60
Al: 0.5000 0.0941 0.1928  2 Al 2.60, 2 Os 2.65-2.66

Summary:
total energy: -5.21 eV per atom
DOS at the Fermi energy: 4.41 states/eV per cell
formation enthalpy at 0 K: -0.027 eV per atom
theoretical density: 5.93 g/cm³

---

Entry from Alexandria via LeMat-Bulk: a relaxed structure of CaAl2Os2 (PBE).

Cell: 7.6682 7.6682 2.7982 Å, 90.00 90.00 90.00°
With the nearest neighbours (Å) after each atom.
Element x y z (fractional)
Ca: 0.0000 0.0000 0.0000  2 Ca 2.80, 4 Al 3.00
Ca: 0.5000 0.5000 0.0000  2 Ca 2.80, 4 Al 3.00
Os: 0.1614 0.6614 0.5000  6 Al 2.65, 2 Os 2.80
Os: 0.6614 0.8386 0.5000  6 Al 2.65, 2 Os 2.80
Os: 0.8386 0.3386 0.5000  6 Al 2.65, 2 Os 2.80
Os: 0.3386 0.1614 0.5000  6 Al 2.65, 2 Os 2.80
Al: 0.3689 0.8689 0.0000  6 Os 2.65, 3 Al 2.80-2.84
Al: 0.8689 0.6311 0.0000  6 Os 2.65, 3 Al 2.80-2.84
Al: 0.6311 0.1311 0.0000  6 Os 2.65, 3 Al 2.80-2.84
Al: 0.1311 0.3689 0.0000  6 Os 2.65, 3 Al 2.80-2.84

Summary:
total energy: -6.59 eV per atom
distance to the lowest polymorph of the same formula: 0 meV/atom
DOS at the Fermi energy: 4.72 states/eV per cell
formation enthalpy at 0 K: -0.204 eV per atom
theoretical density: 9.58 g/cm³